# 1
## Pm4Nd5Ho4 (PBE-GGA)

Data for crystalline Pm4Nd5Ho4 at its relaxed geometry.

a b c (Å): 5.109 9.595 9.603
angles (deg): 86.03 74.64 74.66
Fractional positions:
1 Pm 0.077 0.307 0.040
2 Pm 0.384 0.540 0.193
3 Pm 0.616 0.460 0.807
4 Pm 0.923 0.693 0.960
5 Nd 0.000 0.000 0.500
6 Nd 0.308 0.232 0.653
7 Nd 0.460 0.847 0.732
8 Nd 0.540 0.153 0.268
9 Nd 0.692 0.768 0.347
10 Ho 0.154 0.613 0.577
11 Ho 0.232 0.923 0.113
12 Ho 0.768 0.077 0.887
13 Ho 0.846 0.387 0.423

Values from the calculation:
Crystal system   triclinic
Space-group type   No. 2
ρ   7.4 Mg/m³
VASP energy   -60.948 eV for the cell shown

***

# 2
## Sr2CeTcO8 (PBE-GGA)

Data for crystalline Sr2CeTcO8 at its relaxed geometry.

a b c (Å): 5.311 5.311 6.971
angles (deg): 90.00 90.00 92.22
Fractional positions:
1 Sr 0.000 0.000 0.242
2 Sr 0.000 0.000 0.758
3 Ce 0.500 0.500 0.500
4 Tc 0.500 0.500 0.000
5 O 0.225 0.225 0.500
6 O 0.247 0.247 0.000
7 O 0.330 0.670 0.203
8 O 0.330 0.670 0.797
9 O 0.670 0.330 0.203
10 O 0.670 0.330 0.797
11 O 0.753 0.753 0.000
12 O 0.775 0.775 0.500

Values from the calculation:
Formation energy without anion corrections   -2.18 eV per atom
Crystal system   orthorhombic
Space-group type   No. 65
ρ   4.6 Mg/m³
VASP energy   -85.526 eV for the cell shown

***

# 3
## P2OsRu (PBE-GGA)

Data for crystalline P2OsRu at its relaxed geometry.

a b c (Å): 2.953 2.953 7.646
angles (deg): 90.00 90.00 121.87
Fractional positions:
1 P 0.000 0.000 0.248
2 P 0.000 0.000 0.752
3 Os 0.500 0.500 0.500
4 Ru 0.500 0.500 0.000

Values from the calculation:
Crystal system   orthorhombic
Space-group type   No. 65
E above lowest polymorph   0.677 eV per atom
ρ   10.4 Mg/m³
VASP energy   -30.004 eV for the cell shown

***

# 4
## LiTa2Cr (PBE-GGA)

Data for crystalline LiTa2Cr at its relaxed geometry.

a b c (Å): 5.554 5.554 5.554
angles (deg): 103.73 103.73 121.69
Fractional positions:
1 Li 0.000 0.000 0.000
2 Li 0.750 0.250 0.500
3 Ta 0.130 0.125 0.505
4 Ta 0.375 0.870 0.995
5 Ta 0.620 0.625 0.495
6 Ta 0.875 0.380 0.005
7 Cr 0.250 0.750 0.500
8 Cr 0.500 0.500 0.000

Values from the calculation:
Crystal system   tetragonal
Space-group type   No. 122
E above lowest polymorph   0.555 eV per atom
ρ   11.0 Mg/m³
VASP energy   -64.089 eV for the cell shown

***

# 5
## YMn2Fe (PBE-GGA)

Data for crystalline YMn2Fe at its relaxed geometry.

a b c (Å): 4.490 4.490 4.490
angles (deg): 60.00 60.00 60.00
Fractional positions:
1 Y 0.000 0.000 0.000
2 Mn 0.250 0.250 0.250
3 Mn 0.750 0.750 0.750
4 Fe 0.500 0.500 0.500

Values from the calculation:
Crystal system   cubic
Space-group type   No. 225
E above lowest polymorph   0.395 eV per atom
ρ   6.6 Mg/m³
VASP energy   -31.003 eV for the cell shown

***

# 6
## Ho5Cd2Hg12 (PBE-GGA)

Data for crystalline Ho5Cd2Hg12 at its relaxed geometry.

a b c (Å): 8.728 8.728 7.712
angles (deg): 90.80 90.80 53.65
Fractional positions:
1 Ho 0.000 0.000 0.000
2 Ho 0.244 0.244 0.067
3 Ho 0.324 0.324 0.554
4 Ho 0.676 0.676 0.446
5 Ho 0.756 0.756 0.933
6 Cd 0.221 0.779 0.500
7 Cd 0.779 0.221 0.500
8 Hg 0.029 0.632 0.264
9 Hg 0.139 0.139 0.391
10 Hg 0.188 0.589 0.881
11 Hg 0.368 0.971 0.736
12 Hg 0.411 0.812 0.119
13 Hg 0.457 0.457 0.248
14 Hg 0.543 0.543 0.752
15 Hg 0.589 0.188 0.881
16 Hg 0.632 0.029 0.264
17 Hg 0.812 0.411 0.119
18 Hg 0.861 0.861 0.609
19 Hg 0.971 0.368 0.736

Values from the calculation:
Crystal system   monoclinic
Space-group type   No. 12
ρ   12.1 Mg/m³
VASP energy   -33.248 eV for the cell shown

***

# 7
## Pm6Lu (PBE-GGA)

Data for crystalline Pm6Lu at its relaxed geometry.

a b c (Å): 7.023 7.023 7.023
angles (deg): 109.47 109.47 109.47
Fractional positions:
1 Pm 0.250 0.500 0.750
2 Pm 0.250 0.750 0.500
3 Pm 0.500 0.250 0.750
4 Pm 0.500 0.750 0.250
5 Pm 0.750 0.250 0.500
6 Pm 0.750 0.500 0.250
7 Lu 0.000 0.000 0.000

Values from the calculation:
Crystal system   cubic
Space-group type   No. 229
ρ   6.5 Mg/m³
VASP energy   -23.628 eV for the cell shown

***

# 8
## Sm5Tl2Ru2 (PBE-GGA)

Data for crystalline Sm5Tl2Ru2 at its relaxed geometry.

a b c (Å): 9.145 9.145 7.796
angles (deg): 90.00 90.00 49.28
Fractional positions:
1 Sm 0.000 0.000 0.000
2 Sm 0.054 0.714 0.670
3 Sm 0.214 0.554 0.170
4 Sm 0.286 0.946 0.670
5 Sm 0.446 0.786 0.170
6 Sm 0.500 0.500 0.500
7 Sm 0.554 0.214 0.830
8 Sm 0.714 0.054 0.330
9 Sm 0.786 0.446 0.830
10 Sm 0.946 0.286 0.330
11 Tl 0.220 0.220 0.000
12 Tl 0.280 0.280 0.500
13 Tl 0.720 0.720 0.500
14 Tl 0.780 0.780 0.000
15 Ru 0.128 0.872 0.368
16 Ru 0.372 0.628 0.868
17 Ru 0.628 0.372 0.132
18 Ru 0.872 0.128 0.632

Values from the calculation:
Crystal system   orthorhombic
Space-group type   No. 64
ρ   9.2 Mg/m³
VASP energy   -99.164 eV for the cell shown

***

# 9
## Ni2HOs (PBE-GGA)

Data for crystalline Ni2HOs at its relaxed geometry.

a b c (Å): 4.717 4.717 4.717
angles (deg): 112.80 112.80 103.00
Fractional positions:
1 Ni 0.375 0.238 0.363
2 Ni 0.762 0.125 0.137
3 Ni 0.875 0.012 0.637
4 Ni 0.988 0.625 0.863
5 H 0.000 0.000 0.000
6 H 0.750 0.250 0.500
7 Os 0.250 0.750 0.500
8 Os 0.500 0.500 0.000

Values from the calculation:
Crystal system   tetragonal
Space-group type   No. 122
E above lowest polymorph   0.009 eV per atom
ρ   12.8 Mg/m³
VASP energy   -49.227 eV for the cell shown

***

# 10
## TaHgN2F (PBE-GGA)

Data for crystalline TaHgN2F at its relaxed geometry.

a b c (Å): 4.153 4.153 4.224
angles (deg): 90.00 90.00 90.00
Fractional positions:
1 Ta 0.000 0.000 0.000
2 Hg 0.500 0.500 0.500
3 N 0.000 0.500 0.500
4 N 0.500 0.000 0.500
5 F 0.500 0.500 0.000

Values from the calculation:
Formation energy without anion corrections   1.70 eV per atom
Crystal system   tetragonal
Space-group type   No. 123
E above lowest polymorph   2.173 eV per atom
ρ   9.8 Mg/m³
VASP energy   -22.175 eV for the cell shown

***

# 11
## SrHg3Br9 (PBE-GGA)

Data for crystalline SrHg3Br9 at its relaxed geometry.

a b c (Å): 11.060 11.060 13.093
angles (deg): 120.29 120.29 54.41
Fractional positions:
1 Sr 0.222 0.778 0.500
2 Sr 0.778 0.222 0.000
3 Hg 0.071 0.700 0.055
4 Hg 0.189 0.333 0.732
5 Hg 0.333 0.189 0.232
6 Hg 0.503 0.676 0.927
7 Hg 0.676 0.503 0.427
8 Hg 0.700 0.071 0.555
9 Br 0.019 0.456 0.553
10 Br 0.058 0.259 0.222
11 Br 0.226 0.805 0.270
12 Br 0.259 0.058 0.722
13 Br 0.275 0.716 0.739
14 Br 0.416 0.417 0.414
15 Br 0.417 0.416 0.914
16 Br 0.456 0.019 0.053
17 Br 0.484 0.994 0.394
18 Br 0.569 0.740 0.592
19 Br 0.716 0.275 0.239
20 Br 0.734 0.954 0.980
21 Br 0.740 0.569 0.092
22 Br 0.805 0.226 0.770
23 Br 0.871 0.997 0.404
24 Br 0.954 0.734 0.480
25 Br 0.994 0.484 0.894
26 Br 0.997 0.871 0.904

Values from the calculation:
Formation energy without anion corrections   -0.70 eV per atom
Crystal system   monoclinic
Space-group type   No. 9
ρ   4.4 Mg/m³
VASP energy   -53.495 eV for the cell shown

***

# 12
## Ca2PmMg3 (PBE-GGA)

Data for crystalline Ca2PmMg3 at its relaxed geometry.

a b c (Å): 3.862 3.862 12.235
angles (deg): 90.00 90.00 90.00
Fractional positions:
1 Ca 0.000 0.000 0.170
2 Ca 0.000 0.000 0.830
3 Pm 0.000 0.000 0.500
4 Mg 0.500 0.500 0.000
5 Mg 0.500 0.500 0.340
6 Mg 0.500 0.500 0.660

Values from the calculation:
Crystal system   tetragonal
Space-group type   No. 123
ρ   2.7 Mg/m³
VASP energy   -14.033 eV for the cell shown

***

# 13
## ZrAl3Ir (PBE-GGA)

Data for crystalline ZrAl3Ir at its relaxed geometry.

a b c (Å): 5.922 4.124 7.040
angles (deg): 90.00 106.08 90.00
Fractional positions:
1 Zr 0.189 0.250 0.187
2 Zr 0.811 0.750 0.813
3 Al 0.109 0.250 0.754
4 Al 0.352 0.750 0.951
5 Al 0.482 0.250 0.620
6 Al 0.518 0.750 0.380
7 Al 0.648 0.250 0.049
8 Al 0.891 0.750 0.246
9 Ir 0.209 0.750 0.567
10 Ir 0.791 0.250 0.433

Values from the calculation:
Crystal system   monoclinic
Space-group type   No. 11
E above lowest polymorph   0.000 eV per atom
ρ   7.3 Mg/m³
VASP energy   -64.018 eV for the cell shown

***

# 14
## PmTlAg2 (PBE-GGA)

Data for crystalline PmTlAg2 at its relaxed geometry.

a b c (Å): 5.069 5.069 5.069
angles (deg): 60.00 60.00 60.00
Fractional positions:
1 Pm 0.000 0.000 0.000
2 Tl 0.500 0.500 0.500
3 Ag 0.250 0.250 0.250
4 Ag 0.750 0.750 0.750

Values from the calculation:
Crystal system   cubic
Space-group type   No. 225
E above lowest polymorph   0.000 eV per atom
ρ   10.2 Mg/m³
VASP energy   -13.802 eV for the cell shown

***

# 15
## Pa3Hg (PBE-GGA)

Data for crystalline Pa3Hg at its relaxed geometry.

a b c (Å): 4.625 4.625 4.625
angles (deg): 90.00 90.00 90.00
Fractional positions:
1 Pa 0.000 0.000 0.500
2 Pa 0.000 0.500 0.000
3 Pa 0.500 0.000 0.000
4 Hg 0.500 0.500 0.500

Values from the calculation:
Crystal system   cubic
Space-group type   No. 221
E above lowest polymorph   0.148 eV per atom
ρ   15.0 Mg/m³
VASP energy   -28.218 eV for the cell shown

***

# 16
## PtPb2Br (PBE-GGA)

Data for crystalline PtPb2Br at its relaxed geometry.

a b c (Å): 5.475 5.475 5.475
angles (deg): 130.39 119.39 82.03
Fractional positions:
1 Pt 0.000 0.000 0.000
2 Pb 0.216 0.716 0.500
3 Pb 0.784 0.284 0.500
4 Br 0.500 0.500 0.000

Values from the calculation:
Formation energy without anion corrections   -0.05 eV per atom
Crystal system   orthorhombic
Space-group type   No. 71
E above lowest polymorph   0.333 eV per atom
ρ   10.9 Mg/m³
VASP energy   -15.336 eV for the cell shown

***

# 17
## YUSb2 (PBE-GGA)

Data for crystalline YUSb2 at its relaxed geometry.

a b c (Å): 7.726 7.726 7.726
angles (deg): 32.60 32.60 32.60
Fractional positions:
1 Y 0.000 0.000 0.000
2 U 0.500 0.500 0.500
3 Sb 0.250 0.250 0.250
4 Sb 0.750 0.750 0.750

Values from the calculation:
Formation energy without anion corrections   -0.68 eV per atom
Crystal system   trigonal
Space-group type   No. 166
E above lowest polymorph   0.000 eV per atom
ρ   8.0 Mg/m³
VASP energy   -28.697 eV for the cell shown

***

# 18
## Al2AsRu (PBE-GGA)

Data for crystalline Al2AsRu at its relaxed geometry.

a b c (Å): 3.218 3.559 5.450
angles (deg): 90.00 90.00 90.00
Fractional positions:
1 Al 0.000 0.000 0.000
2 Al 0.500 0.500 0.284
3 As 0.000 0.000 0.514
4 Ru 0.500 0.500 0.820

Values from the calculation:
Crystal system   orthorhombic
Space-group type   No. 25
ρ   6.1 Mg/m³
VASP energy   -22.015 eV for the cell shown

***

# 19
## Zr2Sb2H (PBE-GGA)

Data for crystalline Zr2Sb2H at its relaxed geometry.

a b c (Å): 7.253 7.253 4.059
angles (deg): 90.00 90.00 90.00
Fractional positions:
1 Zr 0.155 0.345 0.000
2 Zr 0.345 0.845 0.000
3 Zr 0.655 0.155 0.000
4 Zr 0.845 0.655 0.000
5 Sb 0.149 0.649 0.500
6 Sb 0.351 0.149 0.500
7 Sb 0.649 0.851 0.500
8 Sb 0.851 0.351 0.500
9 H 0.000 0.000 0.000
10 H 0.500 0.500 0.000

Values from the calculation:
Crystal system   tetragonal
Space-group type   No. 127
E above lowest polymorph   0.397 eV per atom
ρ   6.6 Mg/m³
VASP energy   -60.156 eV for the cell shown

***

# 20
## Ac4PrNd2 (PBE-GGA)

Data for crystalline Ac4PrNd2 at its relaxed geometry.

a b c (Å): 9.661 9.661 9.661
angles (deg): 135.33 99.88 96.73
Fractional positions:
1 Ac 0.159 0.153 0.006
2 Ac 0.238 0.220 0.482
3 Ac 0.238 0.756 0.018
4 Ac 0.353 0.847 0.506
5 Ac 0.647 0.153 0.494
6 Ac 0.762 0.244 0.982
7 Ac 0.762 0.780 0.518
8 Ac 0.841 0.847 0.994
9 Pr 0.500 0.000 0.000
10 Pr 0.500 0.500 0.500
11 Nd 0.000 0.500 0.500
12 Nd 0.025 0.275 0.750
13 Nd 0.500 0.500 0.000
14 Nd 0.975 0.725 0.250

Values from the calculation:
Crystal system   orthorhombic
Space-group type   No. 74
E above lowest polymorph   0.003 eV per atom
ρ   7.6 Mg/m³
VASP energy   -58.053 eV for the cell shown